P.
The following is a PBE-GGA calculation of Li3CaAl3 after structural relaxation, from the Alexandria database.

a = 8.7036 Å, b = 8.7036 Å, c = 8.7036 Å
α = 60.00°, β = 60.00°, γ = 60.00°
Closest atoms and distances in Å follow each position.
Element x y z (fractional)
Al 0.8474 0.1526 0.8474  1 Li 2.44, 4 Al 2.66
Al 0.8474 0.8474 0.1526  1 Li 2.44, 4 Al 2.66
Al 0.1526 0.8474 0.8474  1 Li 2.44, 4 Al 2.66
Al 0.8474 0.1526 0.1526  1 Li 2.44, 4 Al 2.66
Al 0.1526 0.1526 0.8474  1 Li 2.44, 4 Al 2.66
Al 0.1526 0.8474 0.1526  1 Li 2.44, 4 Al 2.66
Li 0.3511 0.6489 0.3511  1 Al 2.44, 4 Li 2.59
Li 0.6489 0.3511 0.3511  1 Al 2.44, 4 Li 2.59
Li 0.6489 0.6489 0.3511  1 Al 2.44, 4 Li 2.59
Li 0.3511 0.3511 0.6489  1 Al 2.44, 4 Li 2.59
Li 0.3511 0.6489 0.6489  1 Al 2.44, 4 Li 2.59
Li 0.6489 0.3511 0.6489  1 Al 2.44, 4 Li 2.59
Ca 0.2500 0.2500 0.2500  12 Al 4.51, 12 Li 4.53
Ca 0.7500 0.7500 0.7500  12 Al 4.51, 12 Li 4.53

Properties
* total magnetic moment: 0.00 μB/f.u.
* N(E_F): 4.03 states/eV/f.u.

=====

Q.
The following is a PBE-GGA calculation of Li3CaAl3 after structural relaxation, from the Alexandria database.

a = 6.9484 Å, b = 6.9484 Å, c = 6.9484 Å
α = 90.00°, β = 90.00°, γ = 90.00°
Closest atoms and distances in Å follow each position.
Element x y z (fractional)
Li 0.5000 0.2500 0.0000  4 Al 2.46
Li 0.0000 0.5000 0.7500  4 Al 2.46
Li 0.2500 0.0000 0.5000  4 Al 2.46
Li 0.7500 0.0000 0.5000  4 Al 2.46
Li 0.5000 0.7500 0.0000  4 Al 2.46
Li 0.0000 0.5000 0.2500  4 Al 2.46
Al 0.0000 0.2500 0.5000  4 Li 2.46
Al 0.5000 0.0000 0.2500  4 Li 2.46
Al 0.2500 0.5000 0.0000  4 Li 2.46
Al 0.0000 0.7500 0.5000  4 Li 2.46
Al 0.5000 0.0000 0.7500  4 Li 2.46
Al 0.7500 0.5000 0.0000  4 Li 2.46
Ca 0.0000 0.0000 0.0000  12 Li 3.88, 12 Al 3.88
Ca 0.5000 0.5000 0.5000  12 Li 3.88, 12 Al 3.88

Properties
* total magnetic moment: 0.00 μB/f.u.
* N(E_F): 2.90 states/eV/f.u.

=====

Most stable structure among those shown: Q. Next: +14.4 kJ/mol of atoms.